Material: LiZrSi3
Method: DFT, PBE
State: relaxed

The space group is Pm-3m (No. 221) and the conventional cell measures 5.0986, 5.0986 and 5.0986 Å, with angles of 90.00, 90.00 and 90.00 degrees. The asymmetric unit holds Li at (0.0000, 0.0000, 0.0000), Zr at (0.5000, 0.5000, 0.5000) and Si at (0.0000, 0.5000, 0.5000).

Its formation energy (no corrections) is 2.76 eV/f.u. The volume is 26.51 Å³/atom. The polymorph energy (0 for the lowest one) comes out at 0.28 eV/f.u. Its spin magnetization is 0.00 Bohr magnetons per cell.